No. 1
# Li34Sb9S6, relaxed, DFT GGA-PBE
# Formation energy (no corrections)   -786 meV per atom
# Calculated total energy   -3.38 eV/atom
data_Li34Sb9S6
_chemical_formula_sum 'Li68 Sb18 S12'
_space_group_name_H-M_alt 'I 4/m'
_space_group_IT_number 87
_space_group_name_Hall '-I 4'
_cell_length_a 9.918
_cell_length_b 9.918
_cell_length_c 18.706
_cell_angle_alpha 90.00
_cell_angle_beta 90.00
_cell_angle_gamma 90.00
loop_
_atom_site_label
_atom_site_fract_x
_atom_site_fract_y
_atom_site_fract_z
Li1 0.000 0.500 0.074
Li2 0.000 0.500 0.250
Li3 0.070 0.781 0.126
Li4 0.084 0.191 0.261
Li5 0.089 0.222 0.423
Li6 0.149 0.282 0.000
Sb1 0.000 0.000 0.500
Sb2 0.129 0.689 0.342
S1 0.000 0.000 0.183
S2 0.099 0.685 0.000


No. 2
# NiOs3, relaxed, DFT GGA-PBE
# ΔH_f (0 K)   2.3 eV/f.u.
# Calculated total energy   -9.29 eV/atom
data_NiOs3
_chemical_formula_sum 'Ni4 Os12'
_space_group_name_H-M_alt 'F m -3 m'
_space_group_IT_number 225
_space_group_name_Hall '-F 4 2 3'
_cell_length_a 6.061
_cell_length_b 6.061
_cell_length_c 6.061
_cell_angle_alpha 90.00
_cell_angle_beta 90.00
_cell_angle_gamma 90.00
loop_
_atom_site_label
_atom_site_fract_x
_atom_site_fract_y
_atom_site_fract_z
Ni1 0.000 0.000 0.000
Os1 0.000 0.000 0.500
Os2 0.250 0.250 0.250


No. 3
# SmEuGdEr, relaxed, DFT GGA-PBE
# ΔH_f (0 K)   0.6 eV/f.u.
# Calculated total energy   -8.25 eV/atom
data_SmEuGdEr
_chemical_formula_sum 'Sm4 Eu4 Gd4 Er4'
_space_group_name_H-M_alt 'F -4 3 m'
_space_group_IT_number 216
_space_group_name_Hall 'F -4 2 3'
_cell_length_a 8.162
_cell_length_b 8.162
_cell_length_c 8.162
_cell_angle_alpha 90.00
_cell_angle_beta 90.00
_cell_angle_gamma 90.00
loop_
_atom_site_label
_atom_site_fract_x
_atom_site_fract_y
_atom_site_fract_z
Sm1 0.000 0.000 0.000
Eu1 0.250 0.250 0.250
Gd1 0.250 0.250 0.750
Er1 0.000 0.000 0.500


No. 4
# AlCrSb4, relaxed, DFT GGA-PBE
# Formation energy (no corrections)   636 meV per atom
# Calculated total energy   -4.34 eV/atom
data_AlCrSb4
_chemical_formula_sum 'Al4 Cr4 Sb16'
_space_group_name_H-M_alt 'F -4 3 m'
_space_group_IT_number 216
_space_group_name_Hall 'F -4 2 3'
_cell_length_a 8.787
_cell_length_b 8.787
_cell_length_c 8.787
_cell_angle_alpha 90.00
_cell_angle_beta 90.00
_cell_angle_gamma 90.00
loop_
_atom_site_label
_atom_site_fract_x
_atom_site_fract_y
_atom_site_fract_z
Al1 0.000 0.000 0.000
Cr1 0.250 0.250 0.750
Sb1 0.125 0.125 0.375


No. 5
# NaInSn2, relaxed, DFT GGA-PBE
# ΔH_f (0 K)   -0.6 eV/f.u.
# Calculated total energy   -3.16 eV/atom
data_NaInSn2
_chemical_formula_sum 'Na4 In4 Sn8'
_space_group_name_H-M_alt 'P 21 21 21'
_space_group_IT_number 19
_space_group_name_Hall 'P 2ac 2ab'
_cell_length_a 6.406
_cell_length_b 6.604
_cell_length_c 11.641
_cell_angle_alpha 90.00
_cell_angle_beta 90.00
_cell_angle_gamma 90.00
loop_
_atom_site_label
_atom_site_fract_x
_atom_site_fract_y
_atom_site_fract_z
Na1 0.116 0.122 0.435
In1 0.105 0.586 0.608
Sn1 0.063 0.116 0.124
Sn2 0.224 0.224 0.735


No. 6
# Ac3NiPb2, relaxed, DFT GGA-PBE
# Energy relative to the lowest polymorph listed for this composition   155 kJ/mol of formula units
# ΔH_f (0 K)   -1.1 eV/f.u.
# Calculated total energy   -4.43 eV/atom
data_Ac3NiPb2
_chemical_formula_sum 'Ac6 Ni2 Pb4'
_space_group_name_H-M_alt 'I m m m'
_space_group_IT_number 71
_space_group_name_Hall '-I 2 2'
_cell_length_a 4.157
_cell_length_b 5.669
_cell_length_c 18.626
_cell_angle_alpha 90.00
_cell_angle_beta 90.00
_cell_angle_gamma 90.00
loop_
_atom_site_label
_atom_site_fract_x
_atom_site_fract_y
_atom_site_fract_z
Ac1 0.000 0.000 0.000
Ac2 0.000 0.500 0.159
Ni1 0.000 0.500 0.000
Pb1 0.000 0.500 0.344


Q: Among the records above, which one has the highest calculated total energy?
A: NaInSn2


Q: Among the records above, which one has the lowest calculated total energy?
A: NiOs3


Q: Which of these has the lowest calculated total energy?
A: NiOs3